Run one
VASP calculation (GGA-PBE) on a geometry-optimized ScPaCoNi structure.

Calculated values
As for the symmetry: F-43m.

Cell and atoms, written as extended XYZ:
```
4
Lattice="4.610 0.000 0.000 2.305 3.992 0.000 2.305 1.331 3.764" Properties=species:S:1:pos:R:3 pbc="T T T"
Co 4.610 2.662 1.882
Sc 6.915 3.992 2.823
Ni 0.000 0.000 0.000
Pa 2.305 1.331 0.941
```

Run two
VASP calculation (GGA-PBE) on a geometry-optimized ScPaCoNi structure.

Calculated values
As for the symmetry: Amm2.

Cell and atoms, written as extended XYZ:
```
4
Lattice="3.464 0.000 0.000 0.000 3.919 0.000 -1.732 0.000 5.185" Properties=species:S:1:pos:R:3 pbc="T T T"
Ni 1.732 1.959 0.850
Co 0.000 0.000 4.199
Pa 1.732 1.959 3.836
Sc 0.000 0.000 1.485
```

Which structure is most stable, and how do the rest compare? From most to least stable: run two, run one.

Run one
VASP calculation (GGA-PBE) on a geometry-optimized CoNiPb3 structure.

Calculated values
As for the symmetry: Pm-3m.

Cell and atoms, written as extended XYZ:
```
5
Lattice="5.022 0.000 0.000 0.000 5.022 0.000 0.000 0.000 5.022" Properties=species:S:1:pos:R:3 pbc="T T T"
Ni 2.511 2.511 2.511
Pb 2.511 0.000 0.000
Pb 0.000 2.511 0.000
Pb 0.000 0.000 2.511
Co 0.000 0.000 0.000
```

Run two
VASP calculation (GGA-PBE) on a geometry-optimized CoNiPb3 structure.

Calculated values
As for the symmetry: Pm-3m.

Cell and atoms, written as extended XYZ:
```
5
Lattice="5.096 0.000 0.000 0.000 5.096 0.000 0.000 0.000 5.096" Properties=species:S:1:pos:R:3 pbc="T T T"
Pb 2.548 0.000 0.000
Pb 0.000 2.548 0.000
Pb 0.000 0.000 2.548
Ni 0.000 0.000 0.000
Co 2.548 2.548 2.548
```

Which structure is most stable, and how do the rest compare? From most to least stable: run one, run two.

Run one
VASP calculation (GGA-PBE) on a geometry-optimized CoNi2Pd structure.

Calculated values
As for the symmetry: P2_1/m.

Cell and atoms, written as extended XYZ:
```
8
Lattice="-1.273 -3.477 0.175 1.845 1.105 -4.129 5.760 -2.006 2.036" Properties=species:S:1:pos:R:3 pbc="T T T"
Pd 4.724 -3.791 -1.869
Pd 1.608 -0.587 -0.050
Co 1.472 -2.588 -1.638
Co 4.859 -1.790 -0.280
Ni 1.214 -0.577 -2.852
Ni 5.118 -3.800 0.934
Ni 3.441 -1.353 -2.065
Ni 2.890 -3.025 0.146
```

Run two
VASP calculation (GGA-PBE) on a geometry-optimized CoNi2Pd structure.

Calculated values
As for the symmetry: R3m.

Cell and atoms, written as extended XYZ:
```
4
Lattice="-1.383 0.513 -2.155 -2.603 -0.206 0.039 -1.924 8.056 1.571" Properties=species:S:1:pos:R:3 pbc="T T T"
Co -2.955 4.183 -0.272
Pd -4.582 8.260 0.161
Ni -1.765 5.934 0.964
Ni -1.488 2.224 -0.098
```

Run three
VASP calculation (GGA-PBE) on a geometry-optimized CoNi2Pd structure.

Calculated values
As for the symmetry: Fm-3m.

Cell and atoms, written as extended XYZ:
```
4
Lattice="2.174 2.698 2.220 -1.583 1.567 3.461 1.540 -1.107 3.652" Properties=species:S:1:pos:R:3 pbc="T T T"
Co 0.000 0.000 0.000
Ni 0.533 0.789 2.333
Ni 1.598 2.368 7.000
Pd 1.066 1.579 4.667
```

Run four
VASP calculation (GGA-PBE) on a geometry-optimized CoNi2Pd structure.

Calculated values
As for the symmetry: P4/mmm.

Cell and atoms, written as extended XYZ:
```
4
Lattice="-0.192 -1.012 -2.384 1.052 -2.215 0.856 -6.550 -2.497 1.586" Properties=species:S:1:pos:R:3 pbc="T T T"
Ni -4.777 -1.821 1.157
Ni -1.773 -0.676 0.429
Pd 0.430 -1.614 -0.764
Co -2.845 -2.862 0.029
```

Which structure is most stable, and how do the rest compare? From most to least stable: run four, run two, run three, run one.

Run one
VASP calculation (GGA-PBE) on a geometry-optimized CoNiPd2 structure.

Calculated values
As for the symmetry: Fm-3m.

Cell and atoms, written as extended XYZ:
```
4
Lattice="0.000 2.999 2.999 2.999 0.000 2.999 2.999 2.999 0.000" Properties=species:S:1:pos:R:3 pbc="T T T"
Pd 1.500 1.500 1.500
Pd 4.499 4.499 4.499
Co 0.000 0.000 0.000
Ni 2.999 2.999 2.999
```

Run two
VASP calculation (GGA-PBE) on a geometry-optimized CoNiPd2 structure.

Calculated values
As for the symmetry: P-1.

Cell and atoms, written as extended XYZ:
```
8
Lattice="-1.458 -5.773 -4.102 2.453 -3.348 -3.281 0.637 -5.019 1.532" Properties=species:S:1:pos:R:3 pbc="T T T"
Ni 0.073 -8.159 -3.591
Ni 1.559 -5.981 -2.260
Co 0.041 -1.783 -1.390
Co 1.591 -12.357 -4.461
Pd 1.471 -9.838 -5.165
Pd 0.162 -4.302 -0.686
Pd 1.715 -8.491 -1.558
Pd -0.082 -5.649 -4.293
```

Which structure is most stable, and how do the rest compare? From most to least stable: run two, run one.

Run one
VASP calculation (GGA-PBE) on a geometry-optimized CoNi2Pd2 structure.

Calculated values
As for the symmetry: P4/mbm.

Cell and atoms, written as extended XYZ:
```
10
Lattice="-2.656 -3.158 -4.283 5.204 -0.542 -2.828 0.714 -3.220 1.931" Properties=species:S:1:pos:R:3 pbc="T T T"
Pd -0.128 -4.413 -3.528
Pd 2.903 -4.174 -4.250
Pd 3.391 -2.507 -1.652
Pd 0.360 -2.746 -0.929
Co 0.000 0.000 0.000
Co 1.274 -1.850 -3.555
Ni 3.532 -1.621 -4.008
Ni 1.540 -0.624 -1.610
Ni -0.984 -2.079 -3.102
Ni 1.008 -3.076 -5.500
```

Run two
VASP calculation (GGA-PBE) on a geometry-optimized CoNi2Pd2 structure.

Calculated values
As for the symmetry: P4/mbm.

Cell and atoms, written as extended XYZ:
```
10
Lattice="7.125 0.000 0.000 0.000 7.125 0.000 0.000 0.000 2.734" Properties=species:S:1:pos:R:3 pbc="T T T"
Ni 1.149 4.711 1.367
Ni 2.413 1.149 1.367
Ni 4.711 5.976 1.367
Ni 5.976 2.413 1.367
Pd 6.145 4.542 0.000
Pd 4.542 0.980 0.000
Pd 0.980 2.582 0.000
Pd 2.582 6.145 0.000
Co 0.000 0.000 0.000
Co 3.562 3.562 0.000
```

Which structure is most stable, and how do the rest compare? From most to least stable: run one, run two.

Run one
VASP calculation (GGA-PBE) on a geometry-optimized Co2NiPd6 structure.

Calculated values
As for the symmetry: C2/m.

Cell and atoms, written as extended XYZ:
```
9
Lattice="-0.389 -0.570 -2.665 -3.421 -5.364 3.069 -3.289 7.284 -1.077" Properties=species:S:1:pos:R:3 pbc="T T T"
Pd -5.135 2.362 0.245
Pd -2.774 5.955 -0.868
Pd -4.326 -4.605 0.195
Pd -1.964 -1.011 -0.919
Pd -3.026 1.578 -1.317
Pd -4.073 -0.228 0.644
Co -4.232 3.913 -1.640
Co -2.868 -2.562 0.967
Ni -5.455 -2.292 -0.135
```

Run two
VASP calculation (GGA-PBE) on a geometry-optimized Co2NiPd6 structure.

Calculated values
As for the symmetry: C2/m.

Cell and atoms, written as extended XYZ:
```
9
Lattice="-0.786 -1.545 3.477 -4.456 -1.251 -3.734 4.300 -4.244 -0.914" Properties=species:S:1:pos:R:3 pbc="T T T"
Ni 2.150 -2.122 -0.457
Pd -0.662 -5.886 -0.595
Pd -1.198 -3.515 -1.833
Pd -0.280 -1.154 -0.576
Pd -2.435 -2.637 0.448
Pd 0.255 -3.526 0.661
Pd 1.492 -4.404 -1.620
Co 2.715 -4.591 0.744
Co -3.657 -2.450 -1.916
```

Which structure is most stable, and how do the rest compare? From most to least stable: run two, run one.

Run one
VASP calculation (GGA-PBE) on a geometry-optimized CoNi3Pd6 structure.

Calculated values
As for the symmetry: R3.

Cell and atoms, written as extended XYZ:
```
10
Lattice="6.603 0.000 0.000 3.301 5.718 0.000 3.301 1.906 3.977" Properties=species:S:1:pos:R:3 pbc="T T T"
Pd 9.046 3.405 1.001
Pd 4.167 4.247 2.971
Pd 8.198 5.704 2.971
Pd 5.028 1.900 1.001
Pd 5.734 6.132 1.001
Pd 7.444 1.485 2.971
Ni 6.603 3.812 3.114
Ni 6.603 3.812 0.886
Ni 3.301 1.906 2.879
Co 9.904 5.718 1.089
```

Run two
VASP calculation (GGA-PBE) on a geometry-optimized CoNi3Pd6 structure.

Calculated values
As for the symmetry: P2_1/m.

Cell and atoms, written as extended XYZ:
```
20
Lattice="4.386 0.000 0.000 0.000 6.628 -2.692 0.000 -0.298 9.643" Properties=species:S:1:pos:R:3 pbc="T T T"
Pd 3.289 2.142 2.331
Pd 3.289 4.749 3.038
Pd 3.289 0.721 6.560
Pd 1.096 4.188 4.620
Pd 1.096 5.608 0.392
Pd 3.289 3.226 7.526
Pd 3.289 6.086 -1.174
Pd 3.289 5.309 5.797
Pd 1.096 1.581 3.913
Pd 1.096 3.103 -0.575
Pd 1.096 1.020 1.154
Pd 1.096 0.244 8.125
Ni 1.096 4.774 7.248
Ni 1.096 2.265 6.405
Ni 3.289 2.711 4.928
Ni 3.289 4.065 0.546
Ni 1.096 3.619 2.024
Ni 3.289 1.556 -0.297
Co 1.096 6.229 2.875
Co 3.289 0.101 4.076
```

Which structure is most stable, and how do the rest compare? From most to least stable: run two, run one.

Run one
VASP calculation (GGA-PBE) on a geometry-optimized CoNiPd4 structure.

Calculated values
As for the symmetry: R-3m.

Cell and atoms, written as extended XYZ:
```
6
Lattice="4.083 0.000 0.000 2.042 3.535 0.205 2.042 0.790 6.771" Properties=species:S:1:pos:R:3 pbc="T T T"
Co 0.000 0.000 0.000
Ni 4.083 2.163 3.488
Pd 2.042 0.933 4.273
Pd 4.083 2.307 0.977
Pd 6.125 3.392 2.704
Pd 4.083 2.018 6.000
```

Run two
VASP calculation (GGA-PBE) on a geometry-optimized CoNiPd4 structure.

Calculated values
As for the symmetry: P-1.

Cell and atoms, written as extended XYZ:
```
6
Lattice="2.666 0.003 0.619 -0.405 4.401 1.750 -0.256 -0.257 7.079" Properties=species:S:1:pos:R:3 pbc="T T T"
Pd 1.953 2.156 3.671
Pd 0.052 1.991 5.778
Pd 1.181 4.193 6.970
Pd 0.825 -0.046 2.478
Co 0.000 0.000 0.000
Ni 1.131 2.202 1.185
```

Which structure is most stable, and how do the rest compare? From most to least stable: run two, run one.

Run one
VASP calculation (GGA-PBE) on a geometry-optimized Co3NiPd structure.

Calculated values
As for the symmetry: Pm-3m.

Cell and atoms, written as extended XYZ:
```
5
Lattice="4.231 0.000 0.000 0.000 4.231 0.000 0.000 0.000 4.231" Properties=species:S:1:pos:R:3 pbc="T T T"
Co 0.000 0.000 2.116
Co 0.000 2.116 0.000
Co 2.116 0.000 0.000
Ni 0.000 0.000 0.000
Pd 2.116 2.116 2.116
```

Run two
VASP calculation (GGA-PBE) on a geometry-optimized Co3NiPd structure.

Calculated values
As for the symmetry: Cmcm.

Cell and atoms, written as extended XYZ:
```
10
Lattice="3.978 0.000 1.424 0.000 5.030 0.000 0.056 0.000 6.104" Properties=species:S:1:pos:R:3 pbc="T T T"
Co 3.241 0.016 3.479
Co 3.942 1.258 1.524
Co 0.092 3.773 6.004
Co 3.241 2.500 3.479
Co 0.793 2.531 4.049
Co 0.793 5.015 4.049
Ni 1.510 1.258 2.050
Ni 2.525 3.773 5.478
Pd 2.458 1.258 5.663
Pd 1.576 3.773 1.864
```

Which structure is most stable, and how do the rest compare? From most to least stable: run two, run one.

Run one
VASP calculation (GGA-PBE) on a geometry-optimized CoNi3Pd structure.

Calculated values
As for the symmetry: P2_1/m.

Cell and atoms, written as extended XYZ:
```
10
Lattice="2.566 0.000 0.000 0.000 6.321 0.702 0.000 3.187 7.725" Properties=species:S:1:pos:R:3 pbc="T T T"
Pd 1.925 5.031 5.447
Pd 0.642 4.477 2.980
Co 1.925 6.486 1.761
Co 0.642 3.023 6.665
Ni 0.642 7.163 6.322
Ni 0.642 6.929 3.928
Ni 1.925 4.277 0.644
Ni 0.642 5.232 7.783
Ni 1.925 2.345 2.105
Ni 1.925 2.579 4.498
```

Run two
VASP calculation (GGA-PBE) on a geometry-optimized CoNi3Pd structure.

Calculated values
As for the symmetry: P6_3/mmc.

Cell and atoms, written as extended XYZ:
```
10
Lattice="-1.847 -1.056 -4.156 -1.968 -4.922 2.125 -3.226 4.706 0.238" Properties=species:S:1:pos:R:3 pbc="T T T"
Ni -3.992 -1.367 0.810
Ni -4.363 2.012 -2.506
Ni -1.877 -1.279 -0.152
Ni -2.678 -3.284 0.713
Ni -3.049 0.096 -2.603
Ni -5.164 0.008 -1.641
Pd -3.773 -2.504 -1.621
Pd -3.268 1.233 -0.172
Co -0.924 -0.528 -2.078
Co -5.194 -0.216 2.363
```

Run three
VASP calculation (GGA-PBE) on a geometry-optimized CoNi3Pd structure.

Calculated values
As for the symmetry: Pm-3m.

Cell and atoms, written as extended XYZ:
```
5
Lattice="4.221 0.000 0.000 0.000 4.221 0.000 0.000 0.000 4.221" Properties=species:S:1:pos:R:3 pbc="T T T"
Ni 2.111 0.000 0.000
Ni 0.000 0.000 2.111
Ni 0.000 2.111 0.000
Pd 2.111 2.111 2.111
Co 0.000 0.000 0.000
```

Which structure is most stable, and how do the rest compare? From most to least stable: run one, run two, run three.

Run one
VASP calculation (GGA-PBE) on a geometry-optimized Co3Ni2Pd2 structure.

Calculated values
As for the symmetry: Cmmm.

Cell and atoms, written as extended XYZ:
```
14
Lattice="0.374 2.210 -4.024 3.178 -6.683 -3.375 -4.642 -3.642 2.841" Properties=species:S:1:pos:R:3 pbc="T T T"
Pd -1.256 -4.062 0.289
Pd 0.165 -4.054 -4.847
Pd 0.710 0.004 -2.568
Pd -1.801 -8.119 -1.990
Ni 1.317 -5.370 -2.827
Ni -0.818 -6.087 -3.418
Ni -2.407 -2.745 -1.731
Ni -0.273 -2.029 -1.140
Co 1.868 -1.687 -4.702
Co -2.958 -6.429 0.144
Co 1.139 -6.844 -4.976
Co -0.545 -4.058 -2.279
Co 0.000 0.000 0.000
Co -2.229 -1.271 0.418
```

Run two
VASP calculation (GGA-PBE) on a geometry-optimized Co3Ni2Pd2 structure.

Calculated values
As for the symmetry: P-1.

Cell and atoms, written as extended XYZ:
```
7
Lattice="2.623 0.000 0.002 -1.303 5.415 -0.650 -0.006 -1.356 6.248" Properties=species:S:1:pos:R:3 pbc="T T T"
Co 0.000 0.000 0.000
Co -0.002 1.940 5.065
Co 1.316 2.118 0.535
Ni 0.008 4.165 1.063
Ni 1.307 -0.106 4.537
Pd 0.001 0.860 2.487
Pd 1.314 3.199 3.113
```

Which structure is most stable, and how do the rest compare? From most to least stable: run two, run one.